Entry 1:
The following is a PBE calculation of an optimized crystal structure of IrSBr3, from the Alexandria database.

Cell and atoms, written as CIF:
```
data_IrSBr3
_chemical_formula_sum 'Ir1 S1 Br3'
_symmetry_space_group_name_H-M 'P 1'
_symmetry_Int_Tables_number 1
_cell_length_a 5.0257
_cell_length_b 5.0257
_cell_length_c 5.0257
_cell_angle_alpha 90.00
_cell_angle_beta 90.00
_cell_angle_gamma 90.00
loop_
_symmetry_equiv_pos_as_xyz
'x,y,z'
loop_
_atom_site_label
_atom_site_fract_x
_atom_site_fract_y
_atom_site_fract_z
Ir1 0.0000 0.0000 0.0000
S1 0.5000 0.5000 0.5000
Br1 0.0000 0.0000 0.5000
Br2 0.0000 0.5000 0.0000
Br3 0.5000 0.0000 0.0000
```

Summary:
Relative energy among the computed polymorphs ... 0 meV/atom
Mass density ... 6.1 g/cm³



Entry 2:
The following is a PBE calculation of an optimized crystal structure of IrS2Br, from the Alexandria database.

Cell and atoms, written as CIF:
```
data_IrS2Br
_chemical_formula_sum 'Ir1 S2 Br1'
_symmetry_space_group_name_H-M 'P 1'
_symmetry_Int_Tables_number 1
_cell_length_a 4.5296
_cell_length_b 4.5296
_cell_length_c 4.5296
_cell_angle_alpha 60.00
_cell_angle_beta 60.00
_cell_angle_gamma 60.00
loop_
_symmetry_equiv_pos_as_xyz
'x,y,z'
loop_
_atom_site_label
_atom_site_fract_x
_atom_site_fract_y
_atom_site_fract_z
Ir1 0.0000 0.0000 0.0000
S1 0.2500 0.2500 0.2500
S2 0.7500 0.7500 0.7500
Br1 0.5000 0.5000 0.5000
```

Summary:
Relative energy among the computed polymorphs ... 1314 meV/atom
Mass density ... 8.5 g/cm³



Entry 3:
The following is a PBE calculation of an optimized crystal structure of IrS2Br, from the Alexandria database.

Cell and atoms, written as CIF:
```
data_IrS2Br
_chemical_formula_sum 'Ir4 S8 Br4'
_symmetry_space_group_name_H-M 'P 1'
_symmetry_Int_Tables_number 1
_cell_length_a 10.0710
_cell_length_b 3.5914
_cell_length_c 11.7264
_cell_angle_alpha 90.00
_cell_angle_beta 90.00
_cell_angle_gamma 90.00
loop_
_symmetry_equiv_pos_as_xyz
'x,y,z'
loop_
_atom_site_label
_atom_site_fract_x
_atom_site_fract_y
_atom_site_fract_z
Ir1 0.0460 0.2500 0.1174
Ir2 0.4540 0.7500 0.6174
Ir3 0.5460 0.2500 0.3826
Ir4 0.9540 0.7500 0.8826
S1 0.1046 0.2500 0.9259
S2 0.1695 0.7500 0.1775
S3 0.3305 0.2500 0.6775
S4 0.3954 0.7500 0.4259
S5 0.6046 0.2500 0.5741
S6 0.6695 0.7500 0.3225
S7 0.8305 0.2500 0.8225
S8 0.8954 0.7500 0.0741
Br1 0.1144 0.2500 0.6101
Br2 0.3856 0.7500 0.1101
Br3 0.6144 0.2500 0.8899
Br4 0.8856 0.7500 0.3899
```

Summary:
Relative energy among the computed polymorphs ... 169 meV/atom
Mass density ... 5.3 g/cm³



| no. | E_form (uncorrected) (eV per atom) | volume (Å³ per cell) |
| --- | --- | --- |
| 1 | 0.7292 | 126.9 |
| 2 | 1.0692 | 65.7 |
| 3 | -0.0757 | 424.1 |